La7Nd2Er4 | GGA-PBE | relaxed

Cell: 6.294 6.294 13.153 Å, 90.00 90.00 120.00°
Fractional positions:
1 La 0.000 0.000 0.000
2 La 0.000 0.383 0.232
3 La 0.000 0.617 0.768
4 La 0.383 0.000 0.232
5 La 0.383 0.383 0.768
6 La 0.617 0.000 0.768
7 La 0.617 0.617 0.232
8 Nd 0.333 0.667 0.000
9 Nd 0.667 0.333 0.000
10 Er 0.000 0.000 0.390
11 Er 0.000 0.000 0.610
12 Er 0.333 0.667 0.500
13 Er 0.667 0.333 0.500

**VASP energy**: -4.625 eV per atom



TlCdHg2Pd | GGA-PBE | relaxed

Cell: 5.377 5.377 5.650 Å, 90.00 90.00 90.00°
Fractional positions:
1 Tl 0.000 0.000 0.000
2 Cd 0.000 0.000 0.500
3 Hg 0.000 0.500 0.500
4 Hg 0.500 0.000 0.500
5 Pd 0.500 0.500 0.000

**VASP energy**: -1.209 eV per atom
**Energy above the lowest structure with this stoichiometry**: 608.9 meV/atom



TaIn2As | GGA-PBE | relaxed

Cell: 3.608 4.740 4.786 Å, 90.00 90.00 90.00°
Fractional positions:
1 Ta 0.000 0.000 0.000
2 In 0.000 0.500 0.500
3 In 0.500 0.000 0.500
4 As 0.500 0.500 0.000

**VASP energy**: -5.100 eV per atom



NaSc2Co2 | GGA-PBE | relaxed

Cell: 5.476 5.476 5.476 Å, 129.06 129.06 74.91°
Fractional positions:
1 Na 0.000 0.000 0.000
2 Sc 0.250 0.750 0.500
3 Sc 0.750 0.250 0.500
4 Co 0.369 0.369 0.000
5 Co 0.631 0.631 0.000

**VASP energy**: -5.411 eV per atom
**Energy above the lowest structure with this stoichiometry**: 192.4 meV/atom



AlCoGe | GGA-PBE | relaxed

Cell: 4.710 6.362 6.363 Å, 78.70 75.61 75.62°
Fractional positions:
1 Al 0.114 0.182 0.431
2 Al 0.118 0.681 0.932
3 Al 0.882 0.319 0.068
4 Al 0.886 0.818 0.569
5 Co 0.117 0.934 0.184
6 Co 0.119 0.432 0.683
7 Co 0.881 0.568 0.317
8 Co 0.883 0.066 0.816
9 Ge 0.389 0.055 0.805
10 Ge 0.389 0.554 0.303
11 Ge 0.611 0.446 0.697
12 Ge 0.611 0.945 0.195

**VASP energy**: -5.445 eV per atom
**Energy above the lowest structure with this stoichiometry**: 26.4 meV/atom



Zn4CuNi5 | GGA-PBE | relaxed

Cell: 2.932 2.932 13.885 Å, 90.00 90.00 90.00°
Fractional positions:
1 Zn 0.000 0.000 0.101
2 Zn 0.000 0.000 0.304
3 Zn 0.000 0.000 0.696
4 Zn 0.000 0.000 0.899
5 Cu 0.000 0.000 0.500
6 Ni 0.500 0.500 0.000
7 Ni 0.500 0.500 0.202
8 Ni 0.500 0.500 0.403
9 Ni 0.500 0.500 0.597
10 Ni 0.500 0.500 0.798

**VASP energy**: -3.994 eV per atom



Sc5Ta3H12 | GGA-PBE | relaxed

Cell: 10.015 10.015 10.015 Å, 109.47 109.47 109.47°
Fractional positions:
1 Sc 0.000 0.000 0.000
2 Sc 0.000 0.000 0.500
3 Sc 0.000 0.500 0.000
4 Sc 0.000 0.500 0.500
5 Sc 0.125 0.750 0.875
6 Sc 0.125 0.875 0.250
7 Sc 0.250 0.125 0.875
8 Sc 0.250 0.625 0.375
9 Sc 0.375 0.250 0.625
10 Sc 0.375 0.625 0.750
11 Sc 0.500 0.000 0.000
12 Sc 0.500 0.000 0.500
13 Sc 0.500 0.500 0.000
14 Sc 0.500 0.500 0.500
15 Sc 0.625 0.375 0.250
16 Sc 0.625 0.750 0.375
17 Sc 0.750 0.375 0.625
18 Sc 0.750 0.875 0.125
19 Sc 0.875 0.125 0.750
20 Sc 0.875 0.250 0.125
21 Ta 0.125 0.250 0.375
22 Ta 0.125 0.375 0.750
23 Ta 0.250 0.375 0.125
24 Ta 0.250 0.875 0.625
25 Ta 0.375 0.125 0.250
26 Ta 0.375 0.750 0.125
27 Ta 0.625 0.250 0.875
28 Ta 0.625 0.875 0.750
29 Ta 0.750 0.125 0.375
30 Ta 0.750 0.625 0.875
31 Ta 0.875 0.625 0.250
32 Ta 0.875 0.750 0.625
33 H 0.073 0.730 0.656
34 H 0.073 0.843 0.417
35 H 0.074 0.230 0.157
36 H 0.074 0.344 0.917
37 H 0.083 0.657 0.427
38 H 0.083 0.926 0.656
39 H 0.156 0.230 0.573
40 H 0.156 0.426 0.583
41 H 0.157 0.074 0.230
42 H 0.157 0.583 0.927
43 H 0.230 0.157 0.074
44 H 0.230 0.573 0.156
45 H 0.270 0.344 0.927
46 H 0.270 0.426 0.343
47 H 0.343 0.270 0.426
48 H 0.343 0.573 0.917
49 H 0.344 0.917 0.074
50 H 0.344 0.927 0.270
51 H 0.417 0.073 0.843
52 H 0.417 0.844 0.574
53 H 0.426 0.343 0.270
54 H 0.426 0.583 0.156
55 H 0.427 0.083 0.657
56 H 0.427 0.844 0.770
57 H 0.573 0.156 0.230
58 H 0.573 0.917 0.343
59 H 0.574 0.417 0.844
60 H 0.574 0.657 0.730
61 H 0.583 0.156 0.426
62 H 0.583 0.927 0.157
63 H 0.656 0.073 0.730
64 H 0.656 0.083 0.926
65 H 0.657 0.427 0.083
66 H 0.657 0.730 0.574
67 H 0.730 0.574 0.657
68 H 0.730 0.656 0.073
69 H 0.770 0.427 0.844
70 H 0.770 0.843 0.926
71 H 0.843 0.417 0.073
72 H 0.843 0.926 0.770
73 H 0.844 0.574 0.417
74 H 0.844 0.770 0.427
75 H 0.917 0.074 0.344
76 H 0.917 0.343 0.573
77 H 0.926 0.656 0.083
78 H 0.926 0.770 0.843
79 H 0.927 0.157 0.583
80 H 0.927 0.270 0.344

**VASP energy**: -5.698 eV per atom



Al5Pb3O12 | GGA-PBE | relaxed

Cell: 10.727 10.727 10.727 Å, 109.47 109.47 109.47°
Fractional positions:
1 Al 0.000 0.000 0.000
2 Al 0.000 0.000 0.500
3 Al 0.000 0.500 0.000
4 Al 0.000 0.500 0.500
5 Al 0.125 0.750 0.875
6 Al 0.125 0.875 0.250
7 Al 0.250 0.125 0.875
8 Al 0.250 0.625 0.375
9 Al 0.375 0.250 0.625
10 Al 0.375 0.625 0.750
11 Al 0.500 0.000 0.000
12 Al 0.500 0.000 0.500
13 Al 0.500 0.500 0.000
14 Al 0.500 0.500 0.500
15 Al 0.625 0.375 0.250
16 Al 0.625 0.750 0.375
17 Al 0.750 0.375 0.625
18 Al 0.750 0.875 0.125
19 Al 0.875 0.125 0.750
20 Al 0.875 0.250 0.125
21 Pb 0.125 0.250 0.375
22 Pb 0.125 0.375 0.750
23 Pb 0.250 0.375 0.125
24 Pb 0.250 0.875 0.625
25 Pb 0.375 0.125 0.250
26 Pb 0.375 0.750 0.125
27 Pb 0.625 0.250 0.875
28 Pb 0.625 0.875 0.750
29 Pb 0.750 0.125 0.375
30 Pb 0.750 0.625 0.875
31 Pb 0.875 0.625 0.250
32 Pb 0.875 0.750 0.625
33 O 0.010 0.190 0.113
34 O 0.010 0.320 0.898
35 O 0.078 0.690 0.680
36 O 0.078 0.887 0.398
37 O 0.102 0.613 0.422
38 O 0.102 0.990 0.680
39 O 0.113 0.010 0.190
40 O 0.113 0.602 0.922
41 O 0.180 0.190 0.578
42 O 0.180 0.490 0.602
43 O 0.190 0.113 0.010
44 O 0.190 0.578 0.180
45 O 0.310 0.320 0.922
46 O 0.310 0.490 0.387
47 O 0.320 0.898 0.010
48 O 0.320 0.922 0.310
49 O 0.387 0.310 0.490
50 O 0.387 0.578 0.898
51 O 0.398 0.078 0.887
52 O 0.398 0.820 0.510
53 O 0.422 0.102 0.613
54 O 0.422 0.820 0.810
55 O 0.490 0.387 0.310
56 O 0.490 0.602 0.180
57 O 0.510 0.398 0.820
58 O 0.510 0.613 0.690
59 O 0.578 0.180 0.190
60 O 0.578 0.898 0.387
61 O 0.602 0.180 0.490
62 O 0.602 0.922 0.113
63 O 0.613 0.422 0.102
64 O 0.613 0.690 0.510
65 O 0.680 0.078 0.690
66 O 0.680 0.102 0.990
67 O 0.690 0.510 0.613
68 O 0.690 0.680 0.078
69 O 0.810 0.422 0.820
70 O 0.810 0.887 0.990
71 O 0.820 0.510 0.398
72 O 0.820 0.810 0.422
73 O 0.887 0.398 0.078
74 O 0.887 0.990 0.810
75 O 0.898 0.010 0.320
76 O 0.898 0.387 0.578
77 O 0.922 0.113 0.602
78 O 0.922 0.310 0.320
79 O 0.990 0.680 0.102
80 O 0.990 0.810 0.887

**E_form (uncorrected)**: -2.1577 eV per atom
**VASP energy**: -6.624 eV per atom



ZnGeCl2 | GGA-PBE | relaxed

Cell: 6.633 6.633 6.633 Å, 98.63 98.63 134.42°
Fractional positions:
1 Zn 0.000 0.000 0.000
2 Zn 0.750 0.250 0.500
3 Ge 0.250 0.750 0.500
4 Ge 0.500 0.500 0.000
5 Cl 0.231 0.625 0.106
6 Cl 0.375 0.481 0.606
7 Cl 0.519 0.125 0.894
8 Cl 0.875 0.769 0.394

**E_form (uncorrected)**: -0.2963 eV per atom
**VASP energy**: -2.692 eV per atom



ErIn2Ir | GGA-PBE | relaxed

Cell: 15.335 8.325 5.536 Å, 90.00 90.00 90.00°
Fractional positions:
1 Er 0.103 0.250 0.242
2 Er 0.138 0.750 0.459
3 Er 0.362 0.250 0.959
4 Er 0.397 0.750 0.742
5 Er 0.603 0.250 0.258
6 Er 0.638 0.750 0.041
7 Er 0.862 0.250 0.541
8 Er 0.897 0.750 0.758
9 In 0.037 0.049 0.746
10 In 0.037 0.451 0.746
11 In 0.215 0.547 0.978
12 In 0.215 0.953 0.978
13 In 0.285 0.047 0.478
14 In 0.285 0.453 0.478
15 In 0.463 0.549 0.246
16 In 0.463 0.951 0.246
17 In 0.537 0.049 0.754
18 In 0.537 0.451 0.754
19 In 0.715 0.547 0.522
20 In 0.715 0.953 0.522
21 In 0.785 0.047 0.022
22 In 0.785 0.453 0.022
23 In 0.963 0.549 0.254
24 In 0.963 0.951 0.254
25 Ir 0.070 0.750 0.967
26 Ir 0.184 0.250 0.761
27 Ir 0.316 0.750 0.261
28 Ir 0.430 0.250 0.467
29 Ir 0.570 0.750 0.533
30 Ir 0.684 0.250 0.739
31 Ir 0.816 0.750 0.239
32 Ir 0.930 0.250 0.033

**VASP energy**: -5.248 eV per atom



LiTiHg2O4 | GGA-PBE | relaxed

Cell: 6.373 6.373 6.373 Å, 136.39 136.39 63.37°
Fractional positions:
1 Li 0.000 0.000 0.000
2 Ti 0.500 0.500 0.000
3 Hg 0.250 0.750 0.500
4 Hg 0.750 0.250 0.500
5 O 0.176 0.176 0.539
6 O 0.364 0.824 0.000
7 O 0.636 0.636 0.461
8 O 0.824 0.364 0.000

**E_form (uncorrected)**: -1.5229 eV per atom
**VASP energy**: -5.304 eV per atom



Cs2TmCuI6 | GGA-PBE | relaxed

Cell: 8.152 8.429 8.517 Å, 114.55 113.42 99.45°
Fractional positions:
1 Cs 0.000 0.000 0.000
2 Cs 0.486 0.486 0.972
3 Tm 0.243 0.743 0.486
4 Cu 0.741 0.240 0.481
5 I 0.017 0.517 0.033
6 I 0.026 0.406 0.486
7 I 0.460 0.081 0.487
8 I 0.470 0.970 0.939
9 I 0.529 0.567 0.487
10 I 0.957 0.920 0.485

**E_form (uncorrected)**: -1.1666 eV per atom
**VASP energy**: -3.124 eV per atom